1.
Here is an optimized crystal structure of Mn2FeN2 from Alexandria via LeMat-Bulk. Energies are from PBE-GGA.

abc: 2.859 2.859 11.388
angles: 90.00 90.00 90.00
Space group I4/mmm (No. 139)
Symmetry-distinct sites (fractional):
Mn1 0.000 0.000 0.151 x4
Fe1 0.000 0.000 0.500 x2
N1 0.000 0.000 0.338 x4

Summary:
- spin magnetization (μB per cell) = 11.08
- Fermi-level density of states (states/eV/f.u.) = 3.48
- E_form (uncorrected) (meV/atom) = -160
- distance to the lowest polymorph of the same formula (eV/atom) = 0.000
- DFT total energy (eV per atom) = -8.85

---

2.
Here is an optimized crystal structure of Cs2IrO from Alexandria via LeMat-Bulk. Energies are from PBE-GGA.

abc: 12.678 12.678 3.819
angles: 90.00 90.00 90.00
Space group I-42d (No. 122)
Symmetry-distinct sites (fractional):
Cs1 0.002 0.250 0.125 x8
Ir1 0.000 0.000 0.500 x4
O1 0.000 0.000 0.000 x4

Summary:
- spin magnetization (μB per cell) = 0.97
- Fermi-level density of states (states/eV/f.u.) = 4.34
- E_form (uncorrected) (meV/atom) = -415
- DFT total energy (eV per atom) = -4.30

---

3.
Here is an optimized crystal structure of SrHg2Cl from Alexandria via LeMat-Bulk. Energies are from PBE-GGA.

abc: 9.788 4.341 6.335
angles: 90.00 110.68 90.00
Space group Cm (No. 8)
Symmetry-distinct sites (fractional):
Sr1 0.000 0.000 0.000 x2
Hg1 0.016 0.500 0.443 x2
Hg2 0.258 0.000 0.597 x2
Cl1 0.205 0.500 0.027 x2

Summary:
- spin magnetization (μB per cell) = 0.00
- Fermi-level density of states (states/eV/f.u.) = 2.10
- E_form (uncorrected) (meV/atom) = -928
- distance to the lowest polymorph of the same formula (eV/atom) = 0.006
- DFT total energy (eV per atom) = -1.96

---

4.
Here is an optimized crystal structure of CdPPt2 from Alexandria via LeMat-Bulk. Energies are from PBE-GGA.

abc: 2.937 4.631 4.906
angles: 90.00 90.00 90.00
Space group Pmmm (No. 47)
Symmetry-distinct sites (fractional):
Cd1 0.000 0.000 0.000 x1
P1 0.500 0.000 0.500 x1
Pt1 0.000 0.500 0.500 x1
Pt2 0.500 0.500 0.000 x1

Summary:
- spin magnetization (μB per cell) = 0.00
- Fermi-level density of states (states/eV/f.u.) = 3.15
- ΔH_f (0 K) (eV per atom) = 0.109
- distance to the lowest polymorph of the same formula (eV/atom) = 0.367
- DFT total energy (eV per atom) = -4.49

---

5.
Here is an optimized crystal structure of KMnNiAs2 from Alexandria via LeMat-Bulk. Energies are from PBE-GGA.

abc: 3.970 3.970 13.499
angles: 90.00 90.00 90.00
Space group I-4m2 (No. 119)
Symmetry-distinct sites (fractional):
K1 0.000 0.000 0.000 x2
Mn1 0.000 0.500 0.250 x2
Ni1 0.000 0.500 0.750 x2
As1 0.000 0.000 0.348 x4

Summary:
- spin magnetization (μB per cell) = 3.99
- Fermi-level density of states (states/eV/f.u.) = 2.33
- ΔH_f (0 K) (eV per atom) = -0.396
- DFT total energy (eV per atom) = -5.47

---

6.
Here is an optimized crystal structure of VCu2Pd5 from Alexandria via LeMat-Bulk. Energies are from PBE-GGA.

abc: 4.240 8.867 12.494
angles: 90.00 90.00 90.00
Space group Cmcm (No. 63)
Symmetry-distinct sites (fractional):
V1 0.000 0.232 0.250 x4
Cu1 0.000 0.232 0.645 x8
Pd1 0.000 0.058 0.102 x8
Pd2 0.000 0.360 0.046 x8
Pd3 0.000 0.489 0.750 x4

Summary:
- spin magnetization (μB per cell) = 0.00
- Fermi-level density of states (states/eV/f.u.) = 6.56
- ΔH_f (0 K) (eV per atom) = -0.046
- distance to the lowest polymorph of the same formula (eV/atom) = 0.107
- DFT total energy (eV per atom) = -5.45

---

7.
Here is an optimized crystal structure of YCu2P from Alexandria via LeMat-Bulk. Energies are from PBE-GGA.

abc: 4.437 4.437 15.385
angles: 90.00 90.00 90.00
Space group I-42d (No. 122)
Symmetry-distinct sites (fractional):
Y1 0.000 0.000 0.000 x4
Cu1 0.064 0.250 0.625 x8
P1 0.000 0.000 0.500 x4

Summary:
- spin magnetization (μB per cell) = 0.00
- Fermi-level density of states (states/eV/f.u.) = 1.45
- ΔH_f (0 K) (eV per atom) = -0.328
- DFT total energy (eV per atom) = -5.34

---

8.
Here is an optimized crystal structure of ZrTaAg from Alexandria via LeMat-Bulk. Energies are from PBE-GGA.

abc: 6.453 6.453 6.453
angles: 90.00 90.00 90.00
Space group F-43m (No. 216)
Symmetry-distinct sites (fractional):
Zr1 0.000 0.000 0.000 x4
Ta1 0.000 0.000 0.500 x4
Ag1 0.250 0.250 0.750 x4

Summary:
- spin magnetization (μB per cell) = 0.00
- Fermi-level density of states (states/eV/f.u.) = 3.46
- ΔH_f (0 K) (eV per atom) = 0.829
- distance to the lowest polymorph of the same formula (eV/atom) = 0.874
- DFT total energy (eV per atom) = -6.92

---

9.
Here is an optimized crystal structure of AuSe3 from Alexandria via LeMat-Bulk. Energies are from PBE-GGA.

abc: 2.761 3.864 7.892
angles: 90.00 90.00 90.00
Space group Pmmm (No. 47)
Symmetry-distinct sites (fractional):
Au1 0.000 0.000 0.000 x1
Se1 0.000 0.000 0.500 x1
Se2 0.500 0.500 0.230 x2

Summary:
- spin magnetization (μB per cell) = 0.00
- Fermi-level density of states (states/eV/f.u.) = 4.08
- E_form (uncorrected) (meV/atom) = 509
- DFT total energy (eV per atom) = -2.92

---

10.
Here is an optimized crystal structure of AsIr2 from Alexandria via LeMat-Bulk. Energies are from PBE-GGA.

abc: 4.2734 4.2734 5.7344
angles: 90.00 90.00 120.00
Space group P6_3/mmc (No. 194)
Symmetry-distinct sites (fractional):
As1 0.3333 0.6667 0.2500 x2
Ir1 0.0000 0.0000 0.0000 x2
Ir2 0.3333 0.6667 0.7500 x2

Summary:
- spin magnetization (μB per cell) = 0.00
- Fermi-level density of states (states/eV/f.u.) = 2.42
- ΔH_f (0 K) (eV per atom) = 0.230
- DFT total energy (eV per atom) = -7.23

---

11.
Here is an optimized crystal structure of Rb4GaAu3 from Alexandria via LeMat-Bulk. Energies are from PBE-GGA.

abc: 4.845 5.069 12.870
angles: 90.00 90.00 90.00
Space group Pmm2 (No. 25)
Symmetry-distinct sites (fractional):
Rb1 0.000 0.000 0.000 x1
Rb2 0.000 0.500 0.473 x1
Rb3 0.500 0.000 0.688 x1
Rb4 0.500 0.500 0.206 x1
Ga1 0.000 0.500 0.810 x1
Au1 0.000 0.000 0.275 x1
Au2 0.500 0.000 0.406 x1
Au3 0.500 0.500 0.873 x1

Summary:
- spin magnetization (μB per cell) = 0.00
- Fermi-level density of states (states/eV/f.u.) = 3.39
- ΔH_f (0 K) (eV per atom) = -0.229
- DFT total energy (eV per atom) = -2.32

---

12.
Here is an optimized crystal structure of Nb2Zn2In from Alexandria via LeMat-Bulk. Energies are from PBE-GGA.

abc: 6.796 6.796 3.764
angles: 90.00 90.00 90.00
Space group P4/mbm (No. 127)
Symmetry-distinct sites (fractional):
Nb1 0.174 0.326 0.000 x4
Zn1 0.124 0.624 0.500 x4
In1 0.000 0.000 0.500 x2

Summary:
- spin magnetization (μB per cell) = 0.00
- Fermi-level density of states (states/eV/f.u.) = 3.26
- ΔH_f (0 K) (eV per atom) = 0.101
- DFT total energy (eV per atom) = -4.98